Record 1
# Er6AuSe3S2 GGA-PBE optimized geometry
# Final energy (eV/cell): -69.2
# Spin magnetization (μB per cell): 0.000
# N(E_F) (states/eV per cell): 4.77
# E_form (uncorrected) (eV per atom): -1.65
data_Er6AuSe3S2
_chemical_formula_sum 'Er6 Au1 Se3 S2'
_symmetry_space_group_name_H-M 'P 1'
_symmetry_Int_Tables_number 1
_symmetry_space_group_name_Hall 'P 1'
_cell_length_a 6.934
_cell_length_b 6.934
_cell_length_c 6.970
_cell_angle_alpha 99.55
_cell_angle_beta 99.55
_cell_angle_gamma 119.95
loop_
_atom_site_label
_atom_site_fract_x
_atom_site_fract_y
_atom_site_fract_z
Er1 0.082 0.422 0.763
Er2 0.240 0.240 0.237
Er3 0.422 0.082 0.763
Er4 0.578 0.918 0.237
Er5 0.760 0.760 0.763
Er6 0.918 0.578 0.237
Au1 0.500 0.500 0.000
Se1 0.000 0.000 0.500
Se2 0.333 0.667 0.500
Se3 0.667 0.333 0.500
S1 0.166 0.834 0.000
S2 0.834 0.166 0.000

---

Record 2
# Mg4ZnCu GGA-PBE optimized geometry
# Formation energy (eV per atom): 0.055
# Final energy (eV/cell): -22.8
# Spin magnetization (μB per cell): 0.000
# N(E_F) (states/eV per cell): 5.82
data_Mg4ZnCu
_chemical_formula_sum 'Mg8 Zn2 Cu2'
_symmetry_space_group_name_H-M 'P 1'
_symmetry_Int_Tables_number 1
_symmetry_space_group_name_Hall 'P 1'
_cell_length_a 6.400
_cell_length_b 6.402
_cell_length_c 6.329
_cell_angle_alpha 90.00
_cell_angle_beta 90.17
_cell_angle_gamma 90.00
loop_
_atom_site_label
_atom_site_fract_x
_atom_site_fract_y
_atom_site_fract_z
Mg1 0.250 0.249 0.242
Mg2 0.250 0.251 0.758
Mg3 0.250 0.749 0.758
Mg4 0.250 0.751 0.242
Mg5 0.750 0.249 0.758
Mg6 0.750 0.251 0.242
Mg7 0.750 0.749 0.242
Mg8 0.750 0.751 0.758
Zn1 0.000 0.000 0.500
Zn2 0.500 0.500 0.500
Cu1 0.000 0.500 0.000
Cu2 0.500 0.000 0.000

---

Record 3
# Li3Hg2Pd GGA-PBE optimized geometry
# Formation energy (eV per atom): -0.383
# Final energy (eV/cell): -13.8
# Spin magnetization (μB per cell): 0.000
# N(E_F) (states/eV per cell): 2.35
data_Li3Hg2Pd
_chemical_formula_sum 'Li3 Hg2 Pd1'
_symmetry_space_group_name_H-M 'P 1'
_symmetry_Int_Tables_number 1
_symmetry_space_group_name_Hall 'P 1'
_cell_length_a 3.208
_cell_length_b 3.208
_cell_length_c 9.689
_cell_angle_alpha 90.00
_cell_angle_beta 90.00
_cell_angle_gamma 90.00
loop_
_atom_site_label
_atom_site_fract_x
_atom_site_fract_y
_atom_site_fract_z
Li1 0.000 0.000 0.000
Li2 0.000 0.000 0.359
Li3 0.000 0.000 0.641
Hg1 0.500 0.500 0.185
Hg2 0.500 0.500 0.815
Pd1 0.500 0.500 0.500

---

Record 4
# SrCa2ZnO GGA-PBE optimized geometry
# Final energy (eV/cell): -17.8
# Spin magnetization (μB per cell): 0.001
# N(E_F) (states/eV per cell): 4.00
# E_form (uncorrected) (eV per atom): -1.18
data_SrCa2ZnO
_chemical_formula_sum 'Sr1 Ca2 Zn1 O1'
_symmetry_space_group_name_H-M 'P 1'
_symmetry_Int_Tables_number 1
_symmetry_space_group_name_Hall 'P 1'
_cell_length_a 4.769
_cell_length_b 4.769
_cell_length_c 5.388
_cell_angle_alpha 90.00
_cell_angle_beta 90.00
_cell_angle_gamma 90.00
loop_
_atom_site_label
_atom_site_fract_x
_atom_site_fract_y
_atom_site_fract_z
Sr1 0.000 0.000 0.000
Ca1 0.000 0.500 0.500
Ca2 0.500 0.000 0.500
Zn1 0.500 0.500 0.000
O1 0.000 0.000 0.500

---

Record 5
# CaMgZn2Cu GGA-PBE optimized geometry
# Formation energy (eV per atom): -0.030
# Final energy (eV/cell): -10.4
# Spin magnetization (μB per cell): 0.000
# N(E_F) (states/eV per cell): 2.04
data_CaMgZn2Cu
_chemical_formula_sum 'Ca1 Mg1 Zn2 Cu1'
_symmetry_space_group_name_H-M 'P 1'
_symmetry_Int_Tables_number 1
_symmetry_space_group_name_Hall 'P 1'
_cell_length_a 4.726
_cell_length_b 4.726
_cell_length_c 4.809
_cell_angle_alpha 90.00
_cell_angle_beta 90.00
_cell_angle_gamma 90.00
loop_
_atom_site_label
_atom_site_fract_x
_atom_site_fract_y
_atom_site_fract_z
Ca1 0.000 0.000 0.000
Mg1 0.500 0.500 0.000
Zn1 0.000 0.500 0.500
Zn2 0.500 0.000 0.500
Cu1 0.500 0.500 0.500

---

Record 6
# RbCaTa GGA-PBE optimized geometry
# Formation energy (eV per atom): 0.398
# Final energy (eV/cell): -27.3
# Spin magnetization (μB per cell): 0.000
# N(E_F) (states/eV per cell): 7.73
data_RbCaTa
_chemical_formula_sum 'Rb2 Ca2 Ta2'
_symmetry_space_group_name_H-M 'P 1'
_symmetry_Int_Tables_number 1
_symmetry_space_group_name_Hall 'P 1'
_cell_length_a 3.696
_cell_length_b 3.696
_cell_length_c 17.116
_cell_angle_alpha 90.09
_cell_angle_beta 90.32
_cell_angle_gamma 90.00
loop_
_atom_site_label
_atom_site_fract_x
_atom_site_fract_y
_atom_site_fract_z
Rb1 0.240 0.247 0.128
Rb2 0.760 0.753 0.872
Ca1 0.254 0.251 0.655
Ca2 0.746 0.749 0.345
Ta1 0.249 0.250 0.470
Ta2 0.751 0.750 0.530

---

Record 7
# ThGa4Hg GGA-PBE optimized geometry
# Formation energy (eV per atom): -0.161
# Final energy (eV/cell): -20.8
# Spin magnetization (μB per cell): 0.000
# N(E_F) (states/eV per cell): 5.96
data_ThGa4Hg
_chemical_formula_sum 'Th1 Ga4 Hg1'
_symmetry_space_group_name_H-M 'P 1'
_symmetry_Int_Tables_number 1
_symmetry_space_group_name_Hall 'P 1'
_cell_length_a 5.647
_cell_length_b 5.647
_cell_length_c 5.647
_cell_angle_alpha 60.00
_cell_angle_beta 60.00
_cell_angle_gamma 60.00
loop_
_atom_site_label
_atom_site_fract_x
_atom_site_fract_y
_atom_site_fract_z
Th1 0.000 0.000 0.000
Ga1 0.375 0.375 0.375
Ga2 0.375 0.375 0.875
Ga3 0.375 0.875 0.375
Ga4 0.875 0.375 0.375
Hg1 0.750 0.750 0.750

---

Record 8
# LaBiAs2Se GGA-PBE optimized geometry
# Final energy (eV/cell): -21.7
# Spin magnetization (μB per cell): 0.000
# N(E_F) (states/eV per cell): 4.22
# E_form (uncorrected) (eV per atom): -0.02
data_LaBiAs2Se
_chemical_formula_sum 'La1 Bi1 As2 Se1'
_symmetry_space_group_name_H-M 'P 1'
_symmetry_Int_Tables_number 1
_symmetry_space_group_name_Hall 'P 1'
_cell_length_a 5.329
_cell_length_b 5.329
_cell_length_c 5.510
_cell_angle_alpha 90.00
_cell_angle_beta 90.00
_cell_angle_gamma 90.00
loop_
_atom_site_label
_atom_site_fract_x
_atom_site_fract_y
_atom_site_fract_z
La1 0.000 0.000 0.000
Bi1 0.500 0.500 0.500
As1 0.000 0.500 0.500
As2 0.500 0.000 0.500
Se1 0.500 0.500 0.000

---

Record 9
# Sc2PtI8 GGA-PBE optimized geometry
# Final energy (eV/cell): -40.1
# Spin magnetization (μB per cell): 0.000
# N(E_F) (states/eV per cell): 0.00
# E_form (uncorrected) (eV per atom): -0.82
data_Sc2PtI8
_chemical_formula_sum 'Sc2 Pt1 I8'
_symmetry_space_group_name_H-M 'P 1'
_symmetry_Int_Tables_number 1
_symmetry_space_group_name_Hall 'P 1'
_cell_length_a 8.731
_cell_length_b 8.731
_cell_length_c 9.080
_cell_angle_alpha 102.25
_cell_angle_beta 102.25
_cell_angle_gamma 59.56
loop_
_atom_site_label
_atom_site_fract_x
_atom_site_fract_y
_atom_site_fract_z
Sc1 0.215 0.215 0.314
Sc2 0.785 0.785 0.686
Pt1 0.000 0.000 0.000
I1 0.114 0.665 0.870
I2 0.196 0.196 0.602
I3 0.335 0.886 0.130
I4 0.387 0.387 0.294
I5 0.613 0.613 0.706
I6 0.665 0.114 0.870
I7 0.804 0.804 0.398
I8 0.886 0.335 0.130

---

Record 10
# AcNdTe2Au GGA-PBE optimized geometry
# Final energy (eV/cell): -49.0
# Spin magnetization (μB per cell): 0.000
# N(E_F) (states/eV per cell): 3.29
# E_form (uncorrected) (eV per atom): -1.21
data_AcNdTe2Au
_chemical_formula_sum 'Ac2 Nd2 Te4 Au2'
_symmetry_space_group_name_H-M 'P 1'
_symmetry_Int_Tables_number 1
_symmetry_space_group_name_Hall 'P 1'
_cell_length_a 4.579
_cell_length_b 4.579
_cell_length_c 15.324
_cell_angle_alpha 90.00
_cell_angle_beta 90.00
_cell_angle_gamma 90.00
loop_
_atom_site_label
_atom_site_fract_x
_atom_site_fract_y
_atom_site_fract_z
Ac1 0.250 0.250 0.096
Ac2 0.750 0.750 0.904
Nd1 0.250 0.250 0.639
Nd2 0.750 0.750 0.361
Te1 0.250 0.250 0.313
Te2 0.250 0.250 0.870
Te3 0.750 0.750 0.130
Te4 0.750 0.750 0.687
Au1 0.250 0.750 0.500
Au2 0.750 0.250 0.500

---

Record 11
# Ba2CaZn GGA-PBE optimized geometry
# Formation energy (eV per atom): -0.014
# Final energy (eV/cell): -14.4
# Spin magnetization (μB per cell): 0.000
# N(E_F) (states/eV per cell): 8.93
data_Ba2CaZn
_chemical_formula_sum 'Ba4 Ca2 Zn2'
_symmetry_space_group_name_H-M 'P 1'
_symmetry_Int_Tables_number 1
_symmetry_space_group_name_Hall 'P 1'
_cell_length_a 4.262
_cell_length_b 5.877
_cell_length_c 14.521
_cell_angle_alpha 90.00
_cell_angle_beta 90.00
_cell_angle_gamma 90.00
loop_
_atom_site_label
_atom_site_fract_x
_atom_site_fract_y
_atom_site_fract_z
Ba1 0.000 0.000 0.000
Ba2 0.000 0.500 0.500
Ba3 0.500 0.000 0.311
Ba4 0.500 0.500 0.811
Ca1 0.000 0.000 0.687
Ca2 0.000 0.500 0.187
Zn1 0.500 0.000 0.538
Zn2 0.500 0.500 0.038

---

Record 12
# Li4AgHg3 GGA-PBE optimized geometry
# Formation energy (eV per atom): -0.186
# Final energy (eV/cell): -25.8
# Spin magnetization (μB per cell): 0.000
# N(E_F) (states/eV per cell): 3.11
data_Li4AgHg3
_chemical_formula_sum 'Li8 Ag2 Hg6'
_symmetry_space_group_name_H-M 'P 1'
_symmetry_Int_Tables_number 1
_symmetry_space_group_name_Hall 'P 1'
_cell_length_a 22.335
_cell_length_b 4.456
_cell_length_c 3.223
_cell_angle_alpha 90.00
_cell_angle_beta 95.48
_cell_angle_gamma 90.00
loop_
_atom_site_label
_atom_site_fract_x
_atom_site_fract_y
_atom_site_fract_z
Li1 0.098 0.000 0.068
Li2 0.217 0.000 0.215
Li3 0.283 0.500 0.785
Li4 0.402 0.500 0.932
Li5 0.598 0.500 0.068
Li6 0.717 0.500 0.215
Li7 0.783 0.000 0.785
Li8 0.902 0.000 0.932
Ag1 0.000 0.000 0.500
Ag2 0.500 0.500 0.500
Hg1 0.000 0.500 0.000
Hg2 0.157 0.500 0.634
Hg3 0.343 0.000 0.366
Hg4 0.500 0.000 0.000
Hg5 0.657 0.000 0.634
Hg6 0.843 0.500 0.366